A plane-wave DFT calculation with GGA-PBEsol was carried out for a geometry-optimized MgNb2FeP structure.

Computed properties:
ρ	5.6	Mg/m³
SG	P4/mmm, No. 123
ΔE_f	0.434	eV per atom

Cell lengths 4.6420, 4.6420, 4.1089 Å; angles 90.00, 90.00, 90.00 degrees
Fractional positions:
Mg 0.0000 0.0000 0.0000
Nb 0.0000 0.5000 0.5000
Nb 0.5000 0.0000 0.5000
Fe 0.5000 0.5000 0.5000
P 0.5000 0.5000 0.0000

A plane-wave DFT calculation with GGA-PBEsol was carried out for a geometry-optimized MgZnCd2 structure.

Computed properties:
energy above the lowest structure with this stoichiometry	0.029	eV/atom
ρ	6.7	Mg/m³
SG	Cmmm, No. 65
ΔE_f	0.000	eV per atom

Cell lengths 5.1398, 5.1398, 3.1209 Å; angles 90.00, 90.00, 109.50 degrees
Fractional positions:
Mg 0.0000 0.0000 0.0000
Zn 0.5000 0.5000 0.0000
Cd 0.0000 0.5000 0.5000
Cd 0.5000 0.0000 0.5000

A plane-wave DFT calculation with GGA-PBEsol was carried out for a geometry-optimized TaPdPb2Au structure.

Computed properties:
ρ	11.3	Mg/m³
SG	P4/mmm, No. 123
ΔE_f	1.360	eV per atom

Cell lengths 5.1822, 5.1822, 4.9266 Å; angles 90.00, 90.00, 90.00 degrees
Fractional positions:
Ta 0.0000 0.0000 0.0000
Pd 0.5000 0.5000 0.0000
Pb 0.0000 0.5000 0.5000
Pb 0.5000 0.0000 0.5000
Au 0.5000 0.5000 0.5000

A plane-wave DFT calculation with GGA-PBEsol was carried out for a geometry-optimized BeCu2 structure.

Computed properties:
ρ	7.4	Mg/m³
SG	Cm, No. 8
ΔE_f	-0.018	eV per atom

Cell lengths 4.5905, 4.5905, 5.7154 Å; angles 104.37, 104.37, 31.89 degrees
Fractional positions:
Be 0.0000 0.0000 0.0000
Be 0.6756 0.6756 0.3286
Cu 0.0615 0.0615 0.5789
Cu 0.3447 0.3447 0.6729
Cu 0.3884 0.3884 0.2508
Cu 0.7034 0.7034 0.9368

A plane-wave DFT calculation with GGA-PBEsol was carried out for a geometry-optimized ScSbIO2 structure.

Computed properties:
uncorrected formation energy	-4.9	eV per formula unit
ρ	5.5	Mg/m³
SG	P4/mmm, No. 123

Cell lengths 4.1958, 4.1958, 5.5708 Å; angles 90.00, 90.00, 90.00 degrees
Fractional positions:
Sc 0.0000 0.0000 0.0000
Sb 0.5000 0.5000 0.5000
I 0.0000 0.0000 0.5000
O 0.0000 0.5000 0.0000
O 0.5000 0.0000 0.0000

A plane-wave DFT calculation with GGA-PBEsol was carried out for a geometry-optimized Sr2YFeCu2O7 structure.

Computed properties:
uncorrected formation energy	-26.3	eV per formula unit
ρ	5.8	Mg/m³
SG	Pmmm, No. 47

Cell lengths 3.7378, 3.7948, 11.2512 Å; angles 90.00, 90.00, 90.00 degrees
Fractional positions:
Sr 0.0000 0.0000 0.1886
Sr 0.0000 0.0000 0.8114
Y 0.0000 0.0000 0.5000
Fe 0.5000 0.5000 0.0000
Cu 0.5000 0.5000 0.3557
Cu 0.5000 0.5000 0.6443
O 0.0000 0.5000 0.3725
O 0.0000 0.5000 0.6275
O 0.5000 0.0000 0.0000
O 0.5000 0.0000 0.3715
O 0.5000 0.0000 0.6285
O 0.5000 0.5000 0.1593
O 0.5000 0.5000 0.8407

A plane-wave DFT calculation with GGA-PBEsol was carried out for a geometry-optimized Mg2H4Ru structure.

Computed properties:
ρ	3.7	Mg/m³
electronic total energy	-4.1839	eV/atom
SG	Cmcm, No. 63

Cell lengths 5.4388, 5.4388, 4.7517 Å; angles 90.00, 90.00, 101.22 degrees
Fractional positions:
Mg 0.0719 0.3533 0.2500
Mg 0.3533 0.0719 0.7500
Mg 0.6467 0.9281 0.2500
Mg 0.9281 0.6467 0.7500
H 0.1324 0.3552 0.7500
H 0.2770 0.7230 0.0138
H 0.2770 0.7230 0.4862
H 0.3552 0.1324 0.2500
H 0.6448 0.8676 0.7500
H 0.7230 0.2770 0.5138
H 0.7230 0.2770 0.9862
H 0.8676 0.6448 0.2500
Ru 0.1306 0.8694 0.2500
Ru 0.8694 0.1306 0.7500

A plane-wave DFT calculation with GGA-PBEsol was carried out for a geometry-optimized MnP4 structure.

Computed properties:
ρ	4.2	Mg/m³
SG	P-1, No. 2
ΔE_f	-0.432	eV per atom

Cell lengths 5.0584, 5.7670, 5.8022 Å; angles 68.99, 64.23, 86.13 degrees
Fractional positions:
Mn 0.0019 0.2242 0.2855
Mn 0.9981 0.7758 0.7145
P 0.1182 0.6502 0.0757
P 0.1266 0.1680 0.6204
P 0.4403 0.6971 0.4553
P 0.4482 0.1958 0.9919
P 0.5518 0.8042 0.0081
P 0.5597 0.3029 0.5447
P 0.8734 0.8320 0.3796
P 0.8818 0.3498 0.9243

A plane-wave DFT calculation with GGA-PBEsol was carried out for a geometry-optimized TmAsS structure.

Computed properties:
uncorrected formation energy	-4.8	eV per formula unit
ρ	7.9	Mg/m³
SG	P4/nmm, No. 129

Cell lengths 3.7375, 3.7375, 8.2713 Å; angles 90.00, 90.00, 90.00 degrees
Fractional positions:
Tm 0.2500 0.2500 0.2092
Tm 0.7500 0.7500 0.7908
As 0.2500 0.7500 0.5000
As 0.7500 0.2500 0.5000
S 0.2500 0.2500 0.8746
S 0.7500 0.7500 0.1254

A plane-wave DFT calculation with GGA-PBEsol was carried out for a geometry-optimized Y2ScHg structure.

Computed properties:
ρ	6.8	Mg/m³
SG	P4mm, No. 99
ΔE_f	-0.261	eV per atom

Cell lengths 3.4705, 3.4705, 8.5613 Å; angles 90.00, 90.00, 90.00 degrees
Fractional positions:
Y 0.0000 0.0000 0.0000
Y 0.5000 0.5000 0.2954
Sc 0.5000 0.5000 0.7312
Hg 0.0000 0.0000 0.5370

A plane-wave DFT calculation with GGA-PBEsol was carried out for a geometry-optimized ZrFe2Si2 structure.

Computed properties:
uncorrected formation energy	-3.7	eV per formula unit
ρ	6.4	Mg/m³
SG	I4/mmm, No. 139

Cell lengths 5.3527, 5.3527, 5.3527 Å; angles 138.41, 138.41, 60.27 degrees
Fractional positions:
Zr 0.0000 0.0000 0.0000
Fe 0.2500 0.7500 0.5000
Fe 0.7500 0.2500 0.5000
Si 0.3720 0.3720 0.0000
Si 0.6280 0.6280 0.0000

A plane-wave DFT calculation with GGA-PBEsol was carried out for a geometry-optimized P2PdSO structure.

Computed properties:
uncorrected formation energy	6.2	eV per formula unit
ρ	3.7	Mg/m³
SG	P4/mmm, No. 123

Cell lengths 4.5216, 4.5216, 4.7759 Å; angles 90.00, 90.00, 90.00 degrees
Fractional positions:
P 0.0000 0.5000 0.0000
P 0.5000 0.0000 0.0000
Pd 0.0000 0.0000 0.0000
S 0.0000 0.0000 0.5000
O 0.5000 0.5000 0.5000